Tb2AlRu: relaxed, PBE.

Summary:
SG: No. 123
Calculated formation energy (kJ/mol of atoms): -38
Calculated density (g cm⁻³): 8.42
V (A^3/atom): 21.99
M_tot (μB per cell): 0.0

Unit cell a=3.502 b=3.502 c=7.173 alpha=90.00 beta=90.00 gamma=90.00
Sites, in units of the cell vectors:
Tb (0.000, 0.000, 0.770)
Ru (0.500, 0.500, 0.000)
Tb (0.000, 0.000, 0.230)
Al (0.500, 0.500, 0.500)